Entry from Alexandria via LeMat-Bulk: a crystal of LiCdSi relaxed with PBEsol (meta-GGA SCAN).

Cell and atoms, written as CIF:
```
data_LiCdSi
_cell_length_a 4.4736
_cell_length_b 4.4736
_cell_length_c 3.0479
_cell_angle_alpha 90.00
_cell_angle_beta 90.00
_cell_angle_gamma 120.00
_space_group_name_H-M_alt 'P -6 m 2'
_space_group_IT_number 187
_space_group_name_Hall 'P -6 2'
loop_
_atom_site_label
_atom_site_fract_x
_atom_site_fract_y
_atom_site_fract_z
Li1 0.0000 0.0000 0.0000
Cd1 0.6667 0.3333 0.5000
Si1 0.3333 0.6667 0.5000
```

For the uncorrected formation energy, the calculation gives 5.1 meV per atom. As for the theoretical density: 4.635 g cm⁻³. The density of states at the Fermi level is 0.54 states/eV per cell. The value obtained for the total energy is -0.52435 Ha/atom.

Entry from Alexandria via LeMat-Bulk: a crystal of LiCdSi2 relaxed with PBEsol (meta-GGA SCAN).

Cell and atoms, written as CIF:
```
data_LiCdSi2
_cell_length_a 6.449
_cell_length_b 6.449
_cell_length_c 6.449
_cell_angle_alpha 90.00
_cell_angle_beta 90.00
_cell_angle_gamma 90.00
_space_group_name_H-M_alt 'F -4 3 m'
_space_group_IT_number 216
_space_group_name_Hall 'F -4 2 3'
loop_
_atom_site_label
_atom_site_fract_x
_atom_site_fract_y
_atom_site_fract_z
Li1 0.000 0.000 0.000
Cd1 0.250 0.250 0.750
Si1 0.000 0.000 0.500
Si2 0.250 0.250 0.250
```

For the uncorrected formation energy, the calculation gives 363.1 meV per atom. As for the theoretical density: 4.347 g cm⁻³. The density of states at the Fermi level is 9.68 states/eV per cell. The value obtained for the total energy is -0.47207 Ha/atom.

Entry from Alexandria via LeMat-Bulk: a crystal of LiCdSi2 relaxed with PBEsol (meta-GGA SCAN).

Cell and atoms, written as CIF:
```
data_LiCdSi2
_cell_length_a 3.763
_cell_length_b 4.253
_cell_length_c 8.348
_cell_angle_alpha 90.00
_cell_angle_beta 90.00
_cell_angle_gamma 90.00
_space_group_name_H-M_alt 'I m m 2'
_space_group_IT_number 44
_space_group_name_Hall 'I 2 -2'
loop_
_atom_site_label
_atom_site_fract_x
_atom_site_fract_y
_atom_site_fract_z
Li1 0.000 0.000 0.000
Cd1 0.000 0.500 0.229
Si1 0.000 0.000 0.463
Si2 0.000 0.500 0.759
```

For the uncorrected formation energy, the calculation gives 238.0 meV per atom. As for the theoretical density: 4.363 g cm⁻³. The density of states at the Fermi level is 2.76 states/eV per cell. The value obtained for the total energy is -0.47667 Ha/atom.

Entry from Alexandria via LeMat-Bulk: a crystal of LiCdSi2 relaxed with PBEsol (meta-GGA SCAN).

Cell and atoms, written as CIF:
```
data_LiCdSi2
_cell_length_a 5.428
_cell_length_b 8.565
_cell_length_c 2.826
_cell_angle_alpha 90.00
_cell_angle_beta 90.00
_cell_angle_gamma 90.00
_space_group_name_H-M_alt 'C m m m'
_space_group_IT_number 65
_space_group_name_Hall '-C 2 2'
loop_
_atom_site_label
_atom_site_fract_x
_atom_site_fract_y
_atom_site_fract_z
Li1 0.000 0.000 0.000
Cd1 0.000 0.500 0.000
Si1 0.250 0.250 0.500
```

For the uncorrected formation energy, the calculation gives 263.6 meV per atom. As for the theoretical density: 4.437 g cm⁻³. The density of states at the Fermi level is 2.79 states/eV per cell. The value obtained for the total energy is -0.47573 Ha/atom.

Entry from Alexandria via LeMat-Bulk: a crystal of LiCdSi2 relaxed with PBEsol (meta-GGA SCAN).

Cell and atoms, written as CIF:
```
data_LiCdSi2
_cell_length_a 7.492
_cell_length_b 7.492
_cell_length_c 5.116
_cell_angle_alpha 90.00
_cell_angle_beta 90.00
_cell_angle_gamma 90.00
_space_group_name_H-M_alt 'I -4 2 d'
_space_group_IT_number 122
_space_group_name_Hall 'I -4 2bw'
loop_
_atom_site_label
_atom_site_fract_x
_atom_site_fract_y
_atom_site_fract_z
Li1 0.000 0.000 0.000
Cd1 0.000 0.000 0.500
Si1 0.242 0.250 0.625
```

For the uncorrected formation energy, the calculation gives 451.2 meV per atom. As for the theoretical density: 4.060 g cm⁻³. The density of states at the Fermi level is 7.08 states/eV per cell. The value obtained for the total energy is -0.46884 Ha/atom.

Entry from Alexandria via LeMat-Bulk: a crystal of LiCdSn3 relaxed with PBEsol (meta-GGA SCAN).

Cell and atoms, written as CIF:
```
data_LiCdSn3
_cell_length_a 4.991
_cell_length_b 4.991
_cell_length_c 4.991
_cell_angle_alpha 90.00
_cell_angle_beta 90.00
_cell_angle_gamma 90.00
_space_group_name_H-M_alt 'P m -3 m'
_space_group_IT_number 221
_space_group_name_Hall '-P 4 2 3'
loop_
_atom_site_label
_atom_site_fract_x
_atom_site_fract_y
_atom_site_fract_z
Li1 0.000 0.000 0.000
Cd1 0.500 0.500 0.500
Sn1 0.000 0.000 0.500
```

The formation enthalpy at 0 K is 0.2637 eV/atom. As for the theoretical density: 6.352 g cm⁻³. The density of states at the Fermi level is 1.93 states/eV per cell. The value obtained for the total energy is -1.02346 Ha/atom.

Entry from Alexandria via LeMat-Bulk: a crystal of LiCd2Sn2 relaxed with PBEsol (meta-GGA SCAN).

Cell and atoms, written as CIF:
```
data_LiCd2Sn2
_cell_length_a 4.587
_cell_length_b 4.587
_cell_length_c 12.471
_cell_angle_alpha 90.00
_cell_angle_beta 90.00
_cell_angle_gamma 90.00
_space_group_name_H-M_alt 'I 4/m m m'
_space_group_IT_number 139
_space_group_name_Hall '-I 4 2'
loop_
_atom_site_label
_atom_site_fract_x
_atom_site_fract_y
_atom_site_fract_z
Li1 0.000 0.000 0.000
Cd1 0.000 0.500 0.250
Sn1 0.000 0.000 0.389
```

The formation enthalpy at 0 K is -0.0645 eV/atom. As for the theoretical density: 5.939 g cm⁻³. The density of states at the Fermi level is 1.79 states/eV per cell. The value obtained for the total energy is -0.99505 Ha/atom.

Entry from Alexandria via LeMat-Bulk: a crystal of LiTiCd2Sn relaxed with PBEsol (meta-GGA SCAN).

Cell and atoms, written as CIF:
```
data_LiTiCd2Sn
_cell_length_a 5.225
_cell_length_b 5.225
_cell_length_c 4.937
_cell_angle_alpha 90.00
_cell_angle_beta 90.00
_cell_angle_gamma 90.00
_space_group_name_H-M_alt 'P 4/m m m'
_space_group_IT_number 123
_space_group_name_Hall '-P 4 2'
loop_
_atom_site_label
_atom_site_fract_x
_atom_site_fract_y
_atom_site_fract_z
Li1 0.000 0.000 0.000
Ti1 0.000 0.000 0.500
Cd1 0.000 0.500 0.500
Sn1 0.500 0.500 0.000
```

The formation enthalpy at 0 K is 0.7741 eV/atom. As for the theoretical density: 4.908 g cm⁻³. The density of states at the Fermi level is 3.40 states/eV per cell. The value obtained for the total energy is -0.81803 Ha/atom.

Entry from Alexandria via LeMat-Bulk: a crystal of SrLi2Cd relaxed with PBEsol (meta-GGA SCAN).

Cell and atoms, written as CIF:
```
data_SrLi2Cd
_cell_length_a 4.7691
_cell_length_b 4.7691
_cell_length_c 16.0453
_cell_angle_alpha 90.00
_cell_angle_beta 90.00
_cell_angle_gamma 120.00
_space_group_name_H-M_alt 'R -3 m'
_space_group_IT_number 166
_space_group_name_Hall '-R 3 2"'
loop_
_atom_site_label
_atom_site_fract_x
_atom_site_fract_y
_atom_site_fract_z
Sr1 0.0000 0.0000 0.0000
Li1 0.0000 0.0000 0.2065
Cd1 0.0000 0.0000 0.5000
```

The formation enthalpy at 0 K is -0.1835 eV/atom. As for the theoretical density: 3.372 g cm⁻³. The density of states at the Fermi level is 8.34 states/eV per cell. The value obtained for the total energy is -0.53473 Ha/atom.

Entry from Alexandria via LeMat-Bulk: a crystal of SrLi2Cd relaxed with PBEsol (meta-GGA SCAN).

Cell and atoms, written as CIF:
```
data_SrLi2Cd
_cell_length_a 3.681
_cell_length_b 3.816
_cell_length_c 7.493
_cell_angle_alpha 90.00
_cell_angle_beta 90.00
_cell_angle_gamma 90.00
_space_group_name_H-M_alt 'P m m 2'
_space_group_IT_number 25
_space_group_name_Hall 'P 2 -2'
loop_
_atom_site_label
_atom_site_fract_x
_atom_site_fract_y
_atom_site_fract_z
Sr1 0.000 0.000 0.000
Li1 0.000 0.000 0.464
Li2 0.500 0.500 0.662
Cd1 0.500 0.500 0.284
```

The formation enthalpy at 0 K is -0.1626 eV/atom. As for the theoretical density: 3.374 g cm⁻³. The density of states at the Fermi level is 1.83 states/eV per cell. The value obtained for the total energy is -0.53396 Ha/atom.

Entry from Alexandria via LeMat-Bulk: a crystal of SrLi2Cd relaxed with PBEsol (meta-GGA SCAN).

Cell and atoms, written as CIF:
```
data_SrLi2Cd
_cell_length_a 4.7913
_cell_length_b 4.7913
_cell_length_c 16.6137
_cell_angle_alpha 90.00
_cell_angle_beta 90.00
_cell_angle_gamma 120.00
_space_group_name_H-M_alt 'R 3 m'
_space_group_IT_number 160
_space_group_name_Hall 'R 3 -2"'
loop_
_atom_site_label
_atom_site_fract_x
_atom_site_fract_y
_atom_site_fract_z
Sr1 0.0000 0.0000 0.0000
Li1 0.0000 0.0000 0.5101
Li2 0.0000 0.0000 0.8025
Cd1 0.0000 0.0000 0.2033
```

The formation enthalpy at 0 K is -0.1968 eV/atom. As for the theoretical density: 3.226 g cm⁻³. The density of states at the Fermi level is 7.01 states/eV per cell. The value obtained for the total energy is -0.53522 Ha/atom.

Entry from Alexandria via LeMat-Bulk: a crystal of SrLi2Cd relaxed with PBEsol (meta-GGA SCAN).

Cell and atoms, written as CIF:
```
data_SrLi2Cd
_cell_length_a 4.788
_cell_length_b 4.788
_cell_length_c 9.175
_cell_angle_alpha 90.00
_cell_angle_beta 90.00
_cell_angle_gamma 90.00
_space_group_name_H-M_alt 'I -4 m 2'
_space_group_IT_number 119
_space_group_name_Hall 'I -4 -2'
loop_
_atom_site_label
_atom_site_fract_x
_atom_site_fract_y
_atom_site_fract_z
Sr1 0.000 0.000 0.000
Li1 0.000 0.000 0.500
Li2 0.000 0.500 0.750
Cd1 0.000 0.500 0.250
```

The formation enthalpy at 0 K is -0.1243 eV/atom. As for the theoretical density: 3.378 g cm⁻³. The density of states at the Fermi level is 5.16 states/eV per cell. The value obtained for the total energy is -0.53256 Ha/atom.

Entry from Alexandria via LeMat-Bulk: a crystal of SrLi2Cd relaxed with PBEsol (meta-GGA SCAN).

Cell and atoms, written as CIF:
```
data_SrLi2Cd
_cell_length_a 4.734
_cell_length_b 4.734
_cell_length_c 5.012
_cell_angle_alpha 90.00
_cell_angle_beta 90.00
_cell_angle_gamma 90.00
_space_group_name_H-M_alt 'P 4/m m m'
_space_group_IT_number 123
_space_group_name_Hall '-P 4 2'
loop_
_atom_site_label
_atom_site_fract_x
_atom_site_fract_y
_atom_site_fract_z
Sr1 0.000 0.000 0.000
Li1 0.000 0.500 0.500
Cd1 0.500 0.500 0.000
```

The formation enthalpy at 0 K is -0.0733 eV/atom. As for the theoretical density: 3.162 g cm⁻³. The density of states at the Fermi level is 2.63 states/eV per cell. The value obtained for the total energy is -0.53068 Ha/atom.

Entry from Alexandria via LeMat-Bulk: a crystal of SrLi4Cd relaxed with PBEsol (meta-GGA SCAN).

Cell and atoms, written as CIF:
```
data_SrLi4Cd
_cell_length_a 8.141
_cell_length_b 8.141
_cell_length_c 8.141
_cell_angle_alpha 90.00
_cell_angle_beta 90.00
_cell_angle_gamma 90.00
_space_group_name_H-M_alt 'F -4 3 m'
_space_group_IT_number 216
_space_group_name_Hall 'F -4 2 3'
loop_
_atom_site_label
_atom_site_fract_x
_atom_site_fract_y
_atom_site_fract_z
Sr1 0.000 0.000 0.000
Li1 0.122 0.122 0.378
Cd1 0.250 0.250 0.750
```

The formation enthalpy at 0 K is -0.1000 eV/atom. As for the theoretical density: 2.805 g cm⁻³. The density of states at the Fermi level is 12.08 states/eV per cell. The value obtained for the total energy is -0.38494 Ha/atom.

Entry from Alexandria via LeMat-Bulk: a crystal of SrLi2Cd relaxed with PBEsol (meta-GGA SCAN).

Cell and atoms, written as CIF:
```
data_SrLi2Cd
_cell_length_a 3.589
_cell_length_b 3.822
_cell_length_c 7.443
_cell_angle_alpha 90.00
_cell_angle_beta 90.00
_cell_angle_gamma 90.00
_space_group_name_H-M_alt 'P m m m'
_space_group_IT_number 47
_space_group_name_Hall '-P 2 2'
loop_
_atom_site_label
_atom_site_fract_x
_atom_site_fract_y
_atom_site_fract_z
Sr1 0.000 0.000 0.000
Li1 0.500 0.500 0.320
Cd1 0.000 0.000 0.500
```

The formation enthalpy at 0 K is -0.1047 eV/atom. As for the theoretical density: 3.479 g cm⁻³. The density of states at the Fermi level is 1.96 states/eV per cell. The value obtained for the total energy is -0.53184 Ha/atom.